Entry 1:
An optimized crystal structure of Ce3Sm2ErSb6, computed with GGA-PBE.

Properties
Density of states at the Fermi level: 1.658 states/eV per atom
Uncorrected formation energy: -1270 kJ/mol of formula units
Magnetization: 2.4 μB per formula unit
Electronic total energy: -5.81 eV/atom

Geometry as POSCAR:
```
Ce3Sm2ErSb6
1.0
7.7366 -0.0010 0.0000
-3.8673 6.7006 0.0000
-1.2909 -2.2352 7.2942
Ce Sm Er Sb
3 2 1 6
direct
0.1684 0.8316 0.5000
0.8316 0.1684 0.5000
0.5000 0.5000 0.5000
0.3340 0.6660 0.0000
0.6660 0.3340 0.0000
0.0000 0.0000 0.0000
0.9183 0.5891 0.7539
0.7541 0.7541 0.2483
0.0817 0.4109 0.2461
0.5891 0.9183 0.7539
0.2459 0.2459 0.7517
0.4109 0.0817 0.2461
```

***

Entry 2:
An optimized crystal structure of CeSmEr2Sb4, computed with GGA-PBE.

Properties
Density of states at the Fermi level: 0.934 states/eV per atom
Uncorrected formation energy: -851 kJ/mol of formula units
Magnetization: 0.7 μB per formula unit
Electronic total energy: -5.64 eV/atom

Geometry as POSCAR:
```
CeSmEr2Sb4
1.0
-4.2698 0.5921 0.9759
-1.9713 -4.1544 -6.1037
-0.5629 -7.3688 2.0081
Ce Sm Er Sb
1 1 2 4
direct
0.0000 0.5000 0.5000
0.5000 0.5000 0.0000
0.0000 0.0000 0.0000
0.5000 0.0000 0.5000
0.0000 0.7577 0.7470
0.0000 0.2423 0.2530
0.5000 0.7582 0.2471
0.5000 0.2418 0.7529
```

***

Entry 3:
An optimized crystal structure of Ce2SmErSb4, computed with GGA-PBE.

Properties
Density of states at the Fermi level: 1.745 states/eV per atom
Uncorrected formation energy: -840 kJ/mol of formula units
Magnetization: 1.6 μB per formula unit
Electronic total energy: -5.79 eV/atom

Geometry as POSCAR:
```
Ce2SmErSb4
1.0
4.4541 0.0000 0.0000
0.0000 7.7175 -0.1534
0.0000 2.7151 7.2240
Ce Sm Er Sb
2 1 1 4
direct
0.0000 0.0000 0.0000
0.5000 0.0000 0.5000
0.5000 0.5000 0.0000
0.0000 0.5000 0.5000
0.0000 0.7469 0.7473
0.0000 0.2531 0.2527
0.5000 0.7441 0.2557
0.5000 0.2559 0.7443
```